[1]
Below is a geometry-optimized ZnReMo2 structure, with properties calculated at the PBE-GGA level.

```
data_ZnReMo2
_chemical_formula_sum 'Zn4 Re4 Mo8'
_symmetry_space_group_name_H-M 'I -4 2 d'
_symmetry_Int_Tables_number 122
_symmetry_space_group_name_Hall 'I -4 2bw'
_cell_length_a 7.217
_cell_length_b 7.217
_cell_length_c 5.283
_cell_angle_alpha 90.00
_cell_angle_beta 90.00
_cell_angle_gamma 90.00
loop_
_atom_site_label
_atom_site_type_symbol
_atom_site_fract_x
_atom_site_fract_y
_atom_site_fract_z
_atom_site_occupancy
Zn1 Zn 0.000 0.000 0.000 1
Re1 Re 0.000 0.000 0.500 1
Mo1 Mo 0.217 0.250 0.625 1
```

Summary:
**Theoretical density**: 10705 kg/m³
**Crystal system**: tetragonal

[2]
Below is a geometry-optimized HoPuScSn structure, with properties calculated at the PBE-GGA level.

```
data_HoPuScSn
_chemical_formula_sum 'Ho4 Pu4 Sc4 Sn4'
_symmetry_space_group_name_H-M 'F -4 3 m'
_symmetry_Int_Tables_number 216
_symmetry_space_group_name_Hall 'F -4 2 3'
_cell_length_a 7.480
_cell_length_b 7.480
_cell_length_c 7.480
_cell_angle_alpha 90.00
_cell_angle_beta 90.00
_cell_angle_gamma 90.00
loop_
_atom_site_label
_atom_site_type_symbol
_atom_site_fract_x
_atom_site_fract_y
_atom_site_fract_z
_atom_site_occupancy
Ho1 Ho 0.000 0.000 0.000 1
Pu1 Pu 0.000 0.000 0.500 1
Sc1 Sc 0.250 0.250 0.250 1
Sn1 Sn 0.250 0.250 0.750 1
```

Summary:
**Theoretical density**: 9088 kg/m³
**Crystal system**: cubic

[3]
Below is a geometry-optimized LuZrAgPd structure, with properties calculated at the PBE-GGA level.

```
data_LuZrAgPd
_chemical_formula_sum 'Lu4 Zr4 Ag4 Pd4'
_symmetry_space_group_name_H-M 'F -4 3 m'
_symmetry_Int_Tables_number 216
_symmetry_space_group_name_Hall 'F -4 2 3'
_cell_length_a 6.896
_cell_length_b 6.896
_cell_length_c 6.896
_cell_angle_alpha 90.00
_cell_angle_beta 90.00
_cell_angle_gamma 90.00
loop_
_atom_site_label
_atom_site_type_symbol
_atom_site_fract_x
_atom_site_fract_y
_atom_site_fract_z
_atom_site_occupancy
Lu1 Lu 0.000 0.000 0.000 1
Zr1 Zr 0.000 0.000 0.500 1
Ag1 Ag 0.250 0.250 0.250 1
Pd1 Pd 0.250 0.250 0.750 1
```

Summary:
**Theoretical density**: 9732 kg/m³
**Crystal system**: cubic

[4]
Below is a geometry-optimized Pu2VAs structure, with properties calculated at the PBE-GGA level.

```
data_Pu2VAs
_chemical_formula_sum 'Pu2 V1 As1'
_symmetry_space_group_name_H-M 'P 4/m m m'
_symmetry_Int_Tables_number 123
_symmetry_space_group_name_Hall '-P 4 2'
_cell_length_a 3.535
_cell_length_b 3.535
_cell_length_c 5.142
_cell_angle_alpha 90.00
_cell_angle_beta 90.00
_cell_angle_gamma 90.00
loop_
_atom_site_label
_atom_site_type_symbol
_atom_site_fract_x
_atom_site_fract_y
_atom_site_fract_z
_atom_site_occupancy
Pu1 Pu 0.000 0.500 0.000 1
V1 V 0.000 0.000 0.500 1
As1 As 0.500 0.500 0.500 1
```

Summary:
**Theoretical density**: 15867 kg/m³
**Crystal system**: tetragonal

[5]
Below is a geometry-optimized La2MgTcOs structure, with properties calculated at the PBE-GGA level.

```
data_La2MgTcOs
_chemical_formula_sum 'La2 Mg1 Tc1 Os1'
_symmetry_space_group_name_H-M 'P 4/m m m'
_symmetry_Int_Tables_number 123
_symmetry_space_group_name_Hall '-P 4 2'
_cell_length_a 5.241
_cell_length_b 5.241
_cell_length_c 4.921
_cell_angle_alpha 90.00
_cell_angle_beta 90.00
_cell_angle_gamma 90.00
loop_
_atom_site_label
_atom_site_type_symbol
_atom_site_fract_x
_atom_site_fract_y
_atom_site_fract_z
_atom_site_occupancy
La1 La 0.000 0.500 0.000 1
Mg1 Mg 0.000 0.000 0.500 1
Tc1 Tc 0.000 0.000 0.000 1
Os1 Os 0.500 0.500 0.500 1
```

Summary:
**Theoretical density**: 7252 kg/m³
**Crystal system**: tetragonal

[6]
Below is a geometry-optimized Nd2TmNpAs4 structure, with properties calculated at the PBE-GGA level.

```
data_Nd2TmNpAs4
_chemical_formula_sum 'Nd2 Tm1 Np1 As4'
_symmetry_space_group_name_H-M 'P 1 2/m 1'
_symmetry_Int_Tables_number 10
_symmetry_space_group_name_Hall '-P 2y'
_cell_length_a 7.223
_cell_length_b 4.172
_cell_length_c 7.239
_cell_angle_alpha 90.00
_cell_angle_beta 109.30
_cell_angle_gamma 90.00
loop_
_atom_site_label
_atom_site_type_symbol
_atom_site_fract_x
_atom_site_fract_y
_atom_site_fract_z
_atom_site_occupancy
Nd1 Nd 0.000 0.000 0.000 1
Nd2 Nd 0.500 0.500 0.000 1
Tm1 Tm 0.000 0.500 0.500 1
Np1 Np 0.500 0.000 0.500 1
As1 As 0.246 0.000 0.736 1
As2 As 0.254 0.500 0.263 1
```

Summary:
**Theoretical density**: 8017 kg/m³
**Crystal system**: monoclinic

Computed DFT total energy (eV/atom) in order:
-8.0800, -7.4575, -5.6978, -10.6026, -5.8048, -6.9818